Entry 1:
The following is a DFT calculation (GGA-PBEsol) of a geometry-optimized TaAg3 structure.

volume: 66.75 Å³/cell
SG: P-1
formation energy from the elements: 1.1 eV/f.u.
density: 12.6 g/cm3

Cell: 2.7472 5.1424 4.9582 Å, 96.64 106.27 89.93°
Closest atoms and distances in Å follow each position.
Element x y z (fractional)
Ag (0.7500, 0.8366, 0.5010)  9 Ag 2.75-2.94, 3 Ta 2.83-2.90
Ag (0.2499, 0.3301, 0.4990)  9 Ag 2.75-2.94, 3 Ta 2.83-2.90
Ag (0.0000, 0.5833, 0.0000)  8 Ag 2.75-2.92, 4 Ta 2.91-2.92
Ta (0.5000, 0.0833, 0.0000)  2 Ta 2.75, 10 Ag 2.83-2.92

---

Entry 2:
The following is a DFT calculation (GGA-PBEsol) of a geometry-optimized BaTi3I structure.

volume: 125.73 Å³/cell
SG: Pm-3m
uncorrected formation energy: 1767 meV/atom
density: 5.4 g/cm3

Cell: 5.0097 5.0097 5.0097 Å, 90.00 90.00 90.00°
Closest atoms and distances in Å follow each position.
Element x y z (fractional)
Ti (0.5000, 0.0000, 0.0000)  2 Ba 2.50
Ti (0.0000, 0.0000, 0.5000)  2 Ba 2.50
Ti (0.0000, 0.5000, 0.0000)  2 Ba 2.50
I (0.5000, 0.5000, 0.5000)  12 Ti 3.54
Ba (0.0000, 0.0000, 0.0000)  6 Ti 2.50

---

Entry 3:
The following is a DFT calculation (GGA-PBEsol) of a geometry-optimized Sc2TlSb structure.

volume: 89.26 Å³/cell
SG: I-4m2
uncorrected formation energy: -600 meV/atom
density: 7.7 g/cm3

Cell: 4.1849 4.1849 5.8935 Å, 110.80 110.80 90.00°
Closest atoms and distances in Å follow each position.
Element x y z (fractional)
Sc (0.2500, 0.7500, 0.5000)  4 Tl 2.96, 4 Sb 3.30, 4 Sc 3.30
Sc (0.5000, 0.5000, 0.0000)  4 Sb 2.96, 4 Tl 3.30, 4 Sc 3.30
Tl (0.7500, 0.2500, 0.5000)  8 Sc 2.96-3.30, 4 Sb 3.30
Sb (0.0000, 0.0000, 0.0000)  8 Sc 2.96-3.30, 4 Tl 3.30

---

Entry 4:
The following is a DFT calculation (GGA-PBEsol) of a geometry-optimized TiZn3 structure.

volume: 113.18 Å³/cell
SG: P6_3/mmc
formation energy from the elements: -0.9 eV/f.u.
density: 7.2 g/cm3

Cell: 4.2723 5.5308 5.5308 Å, 120.00 90.00 90.00°
Closest atoms and distances in Å follow each position.
Element x y z (fractional)
Zn (0.7500, 0.1647, 0.8353)  8 Zn 2.66-2.80, 4 Ti 2.68-2.77
Zn (0.7500, 0.1647, 0.3294)  8 Zn 2.66-2.80, 4 Ti 2.68-2.77
Zn (0.2500, 0.8353, 0.6706)  8 Zn 2.66-2.80, 4 Ti 2.68-2.77
Zn (0.7500, 0.6706, 0.8353)  8 Zn 2.66-2.80, 4 Ti 2.68-2.77
Zn (0.2500, 0.8353, 0.1647)  8 Zn 2.66-2.80, 4 Ti 2.68-2.77
Zn (0.2500, 0.3294, 0.1647)  8 Zn 2.66-2.80, 4 Ti 2.68-2.77
Ti (0.7500, 0.6667, 0.3333)  12 Zn 2.68-2.77
Ti (0.2500, 0.3333, 0.6667)  12 Zn 2.68-2.77

---

Entry 5:
The following is a DFT calculation (GGA-PBEsol) of a geometry-optimized MgReRh3 structure.

volume: 79.94 Å³/cell
SG: Pm-3m
formation energy from the elements: 8.1 eV/f.u.
density: 10.8 g/cm3

Cell: 4.3077 4.3077 4.3077 Å, 90.00 90.00 90.00°
Closest atoms and distances in Å follow each position.
Element x y z (fractional)
Rh (0.5000, 0.0000, 0.0000)  2 Mg 2.15
Rh (0.0000, 0.5000, 0.0000)  2 Mg 2.15
Rh (0.0000, 0.0000, 0.5000)  2 Mg 2.15
Re (0.5000, 0.5000, 0.5000)  12 Rh 3.05
Mg (0.0000, 0.0000, 0.0000)  6 Rh 2.15

---

Entry 6:
The following is a DFT calculation (GGA-PBEsol) of a geometry-optimized BeCd2Si structure.

volume: 67.40 Å³/cell
SG: I4/mmm
uncorrected formation energy: 493 meV/atom
density: 6.5 g/cm3
ΔE to the lowest computed polymorph: 236.0 meV per atom

Cell: 4.0386 4.0386 5.0230 Å, 113.70 113.70 90.00°
Closest atoms and distances in Å follow each position.
Element x y z (fractional)
Be (0.0000, 0.0000, 0.0000)  4 Si 2.86, 8 Cd 2.89
Cd (0.7500, 0.2500, 0.5000)  4 Cd 2.86, 4 Be 2.89, 4 Si 2.89
Cd (0.2500, 0.7500, 0.5000)  4 Cd 2.86, 4 Be 2.89, 4 Si 2.89
Si (0.5000, 0.5000, 0.0000)  4 Be 2.86, 8 Cd 2.89

---

Entry 7:
The following is a DFT calculation (GGA-PBEsol) of a geometry-optimized HfV2Re structure.

volume: 59.36 Å³/cell
SG: Fm-3m
formation energy from the elements: -0.4 eV/f.u.
density: 13.1 g/cm3

Cell: 4.3787 4.3787 4.3787 Å, 60.00 60.00 60.00°
Closest atoms and distances in Å follow each position.
Element x y z (fractional)
V (0.2500, 0.2500, 0.2500)  4 Hf 2.68, 4 Re 2.68
V (0.7500, 0.7500, 0.7500)  4 Re 2.68, 4 Hf 2.68
Hf (0.0000, 0.0000, 0.0000)  8 V 2.68
Re (0.5000, 0.5000, 0.5000)  8 V 2.68

---

Entry 8:
The following is a DFT calculation (GGA-PBEsol) of a geometry-optimized PAu5 structure.

volume: 101.15 Å³/cell
SG: Cm
formation energy from the elements: 0.8 eV/f.u.
density: 16.7 g/cm3
ΔE to the lowest computed polymorph: 0.0 meV per atom

Cell: 2.8506 5.3804 7.0202 Å, 102.57 90.00 105.36°
Closest atoms and distances in Å follow each position.
Element x y z (fractional)
Au (0.0220, 0.0440, 0.5817)  10 Au 2.82-2.96
Au (0.3139, 0.6278, 0.7012)  2 P 2.62, 6 Au 2.85-2.92
Au (0.6727, 0.3455, 0.3534)  11 Au 2.85-3.02, 1 P 2.92
Au (0.3879, 0.7758, 0.2414)  2 P 2.60, 7 Au 2.85-2.90
Au (0.0319, 0.0639, 0.9861)  2 P 2.60, 3 Au 2.82-2.85
P (0.7382, 0.4764, 0.9695)  6 Au 2.60-2.62, 2 P 2.85

---

no.,energy (eV/atom)
1,-5.341
2,-4.010
3,-5.699
4,-3.480
5,-6.273
6,-2.543
7,-10.877
8,-4.094